(1)
This record from Alexandria describes a relaxed Hf3GaSb2 crystal. The functional is GGA-PBE.

Cell lengths 7.0657, 7.0657, 6.6253 Å; angles 90.00, 90.00, 59.87 degrees
Last column: nearest neighbours and their distance in Å.
Sites, in units of the cell vectors:
Hf: 0.0000 0.0000 0.0000  2 Ga 2.77, 4 Sb 2.93
Hf: 0.0000 0.0000 0.5000  2 Ga 2.77, 4 Sb 2.93
Hf: 0.3547 0.3547 0.0000  2 Ga 2.76, 4 Sb 2.93-2.98
Hf: 0.3547 0.3547 0.5000  2 Ga 2.76, 4 Sb 2.93-2.98
Hf: 0.6453 0.6453 0.0000  2 Ga 2.76, 4 Sb 2.93-2.98
Hf: 0.6453 0.6453 0.5000  2 Ga 2.76, 4 Sb 2.93-2.98
Ga: 0.3149 0.6851 0.7500  6 Hf 2.76-2.77
Ga: 0.6851 0.3149 0.2500  6 Hf 2.76-2.77
Sb: 0.0145 0.3349 0.7500  6 Hf 2.93-2.98
Sb: 0.3349 0.0145 0.2500  6 Hf 2.93-2.98
Sb: 0.6651 0.9855 0.7500  6 Hf 2.93-2.98
Sb: 0.9855 0.6651 0.2500  6 Hf 2.93-2.98

Total moment in μB per formula unit: 0.0
Formation energy without anion corrections in eV/f.u.: -2.24
Final energy in eV per atom: -7.228
SG: No. 63
Fermi-level density of states in states/eV/f.u.: 2.4

***

(2)
This record from Alexandria describes a relaxed Hf4Ga2Sb crystal. The functional is GGA-PBE.

Cell lengths 5.5354, 5.5354, 14.2360 Å; angles 90.00, 90.00, 137.15 degrees
Last column: nearest neighbours and their distance in Å.
Sites, in units of the cell vectors:
Hf: 0.0000 0.0000 0.0000  4 Ga 2.82
Hf: 0.0000 0.0000 0.5000  4 Ga 2.82
Hf: 0.3319 0.6681 0.6333  3 Ga 2.75-2.81, 2 Sb 2.91
Hf: 0.3319 0.6681 0.8667  3 Ga 2.75-2.81, 2 Sb 2.91
Hf: 0.3458 0.6542 0.2500  2 Ga 2.71, 2 Sb 2.87
Hf: 0.6542 0.3458 0.7500  2 Ga 2.71, 2 Sb 2.87
Hf: 0.6681 0.3319 0.1333  3 Ga 2.75-2.81, 2 Sb 2.91
Hf: 0.6681 0.3319 0.3667  3 Ga 2.75-2.81, 2 Sb 2.91
Ga: 0.3280 0.6720 0.0599  6 Hf 2.71-2.82
Ga: 0.3280 0.6720 0.4401  6 Hf 2.71-2.82
Ga: 0.6720 0.3280 0.5599  6 Hf 2.71-2.82
Ga: 0.6720 0.3280 0.9401  6 Hf 2.71-2.82
Sb: 0.0436 0.9564 0.2500  7 Hf 2.87-3.12
Sb: 0.9564 0.0436 0.7500  7 Hf 2.87-3.12

Total moment in μB per formula unit: 0.0
Formation energy without anion corrections in eV/f.u.: -1.75
Final energy in eV per atom: -7.391
SG: No. 63
Fermi-level density of states in states/eV/f.u.: 5.4